1.
# TmTaMnSi2 | the Alexandria database | GGA-PBE | optimized geometry
data_TmTaMnSi2
_cell_length_a 6.2189
_cell_length_b 6.2189
_cell_length_c 6.2189
_cell_angle_alpha 143.46
_cell_angle_beta 143.46
_cell_angle_gamma 52.63
_symmetry_space_group_name_H-M 'P 1'
_symmetry_Int_Tables_number 1
loop_
_symmetry_equiv_pos_as_xyz
'x,y,z'
loop_
_atom_site_label
_atom_site_type_symbol
_atom_site_fract_x
_atom_site_fract_y
_atom_site_fract_z
_atom_site_occupancy
Tm1 Tm 0.0000 0.0000 0.0000 1
Ta1 Ta 0.2500 0.7500 0.5000 1
Mn1 Mn 0.7500 0.2500 0.5000 1
Si1 Si 0.3937 0.3937 0.0000 1
Si2 Si 0.6063 0.6063 0.0000 1
# Electronic total energy in hartree per atom: -0.2870
# M_tot in μB per cell: 1.194
# Density of states at the Fermi level in states/eV/cell: 2.919


2.
# Sm12ZrTl3 | the Alexandria database | GGA-PBE | optimized geometry
data_Sm12ZrTl3
_cell_length_a 4.9213
_cell_length_b 4.9213
_cell_length_c 20.0456
_cell_angle_alpha 90.00
_cell_angle_beta 90.00
_cell_angle_gamma 90.00
_symmetry_space_group_name_H-M 'P 1'
_symmetry_Int_Tables_number 1
loop_
_symmetry_equiv_pos_as_xyz
'x,y,z'
loop_
_atom_site_label
_atom_site_type_symbol
_atom_site_fract_x
_atom_site_fract_y
_atom_site_fract_z
_atom_site_occupancy
Sm1 Sm 0.0000 0.0000 0.0000 1
Sm2 Sm 0.0000 0.0000 0.2491 1
Sm3 Sm 0.0000 0.0000 0.5000 1
Sm4 Sm 0.0000 0.0000 0.7509 1
Sm5 Sm 0.0000 0.5000 0.1249 1
Sm6 Sm 0.0000 0.5000 0.3764 1
Sm7 Sm 0.0000 0.5000 0.6236 1
Sm8 Sm 0.0000 0.5000 0.8751 1
Sm9 Sm 0.5000 0.0000 0.1249 1
Sm10 Sm 0.5000 0.0000 0.3764 1
Sm11 Sm 0.5000 0.0000 0.6236 1
Sm12 Sm 0.5000 0.0000 0.8751 1
Zr1 Zr 0.5000 0.5000 0.5000 1
Tl1 Tl 0.5000 0.5000 0.0000 1
Tl2 Tl 0.5000 0.5000 0.2462 1
Tl3 Tl 0.5000 0.5000 0.7538 1
# E_form in eV per atom: -0.1191
# M_tot in μB per cell: 0.000
# Density of states at the Fermi level in states/eV/cell: 21.108


3.
# KZnSbAu3 | the Alexandria database | GGA-PBE | optimized geometry
data_KZnSbAu3
_cell_length_a 6.7028
_cell_length_b 6.8362
_cell_length_c 6.8579
_cell_angle_alpha 90.00
_cell_angle_beta 103.04
_cell_angle_gamma 90.00
_symmetry_space_group_name_H-M 'P 1'
_symmetry_Int_Tables_number 1
loop_
_symmetry_equiv_pos_as_xyz
'x,y,z'
loop_
_atom_site_label
_atom_site_type_symbol
_atom_site_fract_x
_atom_site_fract_y
_atom_site_fract_z
_atom_site_occupancy
K1 K 0.2301 0.2500 0.0525 1
K2 K 0.7699 0.7500 0.9475 1
Zn1 Zn 0.0271 0.7500 0.5031 1
Zn2 Zn 0.9729 0.2500 0.4969 1
Sb1 Sb 0.3450 0.7500 0.2711 1
Sb2 Sb 0.6550 0.2500 0.7289 1
Au1 Au 0.2602 0.7500 0.8693 1
Au2 Au 0.3027 0.0342 0.5715 1
Au3 Au 0.3027 0.4658 0.5715 1
Au4 Au 0.6973 0.5342 0.4285 1
Au5 Au 0.6973 0.9658 0.4285 1
Au6 Au 0.7398 0.2500 0.1307 1
# Electronic total energy in hartree per atom: -0.1085
# M_tot in μB per cell: 0.000
# Density of states at the Fermi level in states/eV/cell: 3.762


4.
# K2LiF4 | the Alexandria database | GGA-PBE | optimized geometry
data_K2LiF4
_cell_length_a 6.4505
_cell_length_b 4.9953
_cell_length_c 7.7419
_cell_angle_alpha 90.00
_cell_angle_beta 108.23
_cell_angle_gamma 90.00
_symmetry_space_group_name_H-M 'P 1'
_symmetry_Int_Tables_number 1
loop_
_symmetry_equiv_pos_as_xyz
'x,y,z'
loop_
_atom_site_label
_atom_site_type_symbol
_atom_site_fract_x
_atom_site_fract_y
_atom_site_fract_z
_atom_site_occupancy
K1 K 0.2196 0.2500 0.4492 1
K2 K 0.2768 0.2500 0.9298 1
K3 K 0.7232 0.7500 0.0702 1
K4 K 0.7804 0.7500 0.5508 1
Li1 Li 0.2251 0.7500 0.1906 1
Li2 Li 0.7749 0.2500 0.8094 1
F1 F 0.0639 0.7500 0.9408 1
F2 F 0.0680 0.7500 0.3536 1
F3 F 0.4663 0.5111 0.2484 1
F4 F 0.4663 0.9889 0.2484 1
F5 F 0.5337 0.0111 0.7516 1
F6 F 0.5337 0.4889 0.7516 1
F7 F 0.9320 0.2500 0.6464 1
F8 F 0.9361 0.2500 0.0592 1
# Energy above the most stable polymorph in this dataset in eV/f.u.: 0.138
# M_tot in μB per cell: 2.077
# Density of states at the Fermi level in states/eV/cell: 12.352


5.
# PrNbSe4 | the Alexandria database | GGA-PBE | optimized geometry
data_PrNbSe4
_cell_length_a 6.8341
_cell_length_b 6.8818
_cell_length_c 6.8405
_cell_angle_alpha 90.00
_cell_angle_beta 97.96
_cell_angle_gamma 90.00
_symmetry_space_group_name_H-M 'P 1'
_symmetry_Int_Tables_number 1
loop_
_symmetry_equiv_pos_as_xyz
'x,y,z'
loop_
_atom_site_label
_atom_site_type_symbol
_atom_site_fract_x
_atom_site_fract_y
_atom_site_fract_z
_atom_site_occupancy
Pr1 Pr 0.0000 0.0000 0.0000 1
Pr2 Pr 0.0000 0.5000 0.5000 1
Nb1 Nb 0.5000 0.0000 0.5000 1
Nb2 Nb 0.5000 0.5000 0.0000 1
Se1 Se 0.1604 0.1325 0.4010 1
Se2 Se 0.1604 0.3675 0.9010 1
Se3 Se 0.3740 0.6704 0.3064 1
Se4 Se 0.3740 0.8296 0.8064 1
Se5 Se 0.6260 0.1704 0.1936 1
Se6 Se 0.6260 0.3296 0.6936 1
Se7 Se 0.8396 0.6325 0.0990 1
Se8 Se 0.8396 0.8675 0.5990 1
# Electronic total energy in hartree per atom: -0.2110
# M_tot in μB per cell: 0.000
# Density of states at the Fermi level in states/eV/cell: 1.624


6.
# LaAl2F | the Alexandria database | GGA-PBE | optimized geometry
data_LaAl2F
_cell_length_a 8.1558
_cell_length_b 8.1558
_cell_length_c 8.1558
_cell_angle_alpha 143.28
_cell_angle_beta 143.28
_cell_angle_gamma 52.91
_symmetry_space_group_name_H-M 'P 1'
_symmetry_Int_Tables_number 1
loop_
_symmetry_equiv_pos_as_xyz
'x,y,z'
loop_
_atom_site_label
_atom_site_type_symbol
_atom_site_fract_x
_atom_site_fract_y
_atom_site_fract_z
_atom_site_occupancy
La1 La 0.0000 0.0000 0.0000 1
La2 La 0.7500 0.2500 0.5000 1
Al1 Al 0.3629 0.1250 0.7379 1
Al2 Al 0.3750 0.6371 0.7621 1
Al3 Al 0.3871 0.6250 0.2621 1
Al4 Al 0.8750 0.6129 0.2379 1
F1 F 0.2500 0.7500 0.5000 1
F2 F 0.5000 0.5000 0.0000 1
# Energy above the most stable polymorph in this dataset in eV/f.u.: 0.000
# M_tot in μB per cell: 0.339
# Density of states at the Fermi level in states/eV/cell: 9.981


7.
# RbCu2Sb2Se6 | the Alexandria database | GGA-PBE | optimized geometry
data_RbCu2Sb2Se6
_cell_length_a 8.6329
_cell_length_b 8.6329
_cell_length_c 7.0055
_cell_angle_alpha 94.68
_cell_angle_beta 94.68
_cell_angle_gamma 48.08
_symmetry_space_group_name_H-M 'P 1'
_symmetry_Int_Tables_number 1
loop_
_symmetry_equiv_pos_as_xyz
'x,y,z'
loop_
_atom_site_label
_atom_site_type_symbol
_atom_site_fract_x
_atom_site_fract_y
_atom_site_fract_z
_atom_site_occupancy
Rb1 Rb 0.0000 0.0000 0.0000 1
Cu1 Cu 0.3523 0.3523 0.4551 1
Cu2 Cu 0.6477 0.6477 0.5449 1
Sb1 Sb 0.2909 0.2909 0.9467 1
Sb2 Sb 0.7091 0.7091 0.0533 1
Se1 Se 0.0786 0.5851 0.2327 1
Se2 Se 0.4149 0.9214 0.7673 1
Se3 Se 0.4220 0.4220 0.7586 1
Se4 Se 0.5780 0.5780 0.2414 1
Se5 Se 0.5851 0.0786 0.2327 1
Se6 Se 0.9214 0.4149 0.7673 1
# Electronic total energy in hartree per atom: -0.1381
# M_tot in μB per cell: 0.000
# Density of states at the Fermi level in states/eV/cell: 3.824


8.
# TaTe2Se | the Alexandria database | GGA-PBE | optimized geometry
data_TaTe2Se
_cell_length_a 3.4030
_cell_length_b 5.0572
_cell_length_c 5.1304
_cell_angle_alpha 90.00
_cell_angle_beta 90.00
_cell_angle_gamma 90.00
_symmetry_space_group_name_H-M 'P 1'
_symmetry_Int_Tables_number 1
loop_
_symmetry_equiv_pos_as_xyz
'x,y,z'
loop_
_atom_site_label
_atom_site_type_symbol
_atom_site_fract_x
_atom_site_fract_y
_atom_site_fract_z
_atom_site_occupancy
Ta1 Ta 0.0000 0.0000 0.0000 1
Te1 Te 0.0000 0.5000 0.5000 1
Te2 Te 0.5000 0.5000 0.0000 1
Se1 Se 0.5000 0.0000 0.5000 1
# Electronic total energy in hartree per atom: -0.1790
# M_tot in μB per cell: 0.000
# Density of states at the Fermi level in states/eV/cell: 2.279


9.
# Ba2DyAg2S4 | the Alexandria database | GGA-PBE | optimized geometry
data_Ba2DyAg2S4
_cell_length_a 8.1726
_cell_length_b 8.1726
_cell_length_c 7.8002
_cell_angle_alpha 113.87
_cell_angle_beta 113.87
_cell_angle_gamma 28.37
_symmetry_space_group_name_H-M 'P 1'
_symmetry_Int_Tables_number 1
loop_
_symmetry_equiv_pos_as_xyz
'x,y,z'
loop_
_atom_site_label
_atom_site_type_symbol
_atom_site_fract_x
_atom_site_fract_y
_atom_site_fract_z
_atom_site_occupancy
Ba1 Ba 0.1360 0.1360 0.0801 1
Ba2 Ba 0.8640 0.8640 0.9199 1
Dy1 Dy 0.0000 0.0000 0.5000 1
Ag1 Ag 0.3153 0.3153 0.4915 1
Ag2 Ag 0.6847 0.6847 0.5085 1
S1 S 0.1879 0.1879 0.7384 1
S2 S 0.4849 0.4849 0.7433 1
S3 S 0.5151 0.5151 0.2567 1
S4 S 0.8121 0.8121 0.2616 1
# Electronic total energy in hartree per atom: -0.1746
# M_tot in μB per cell: 0.000
# Density of states at the Fermi level in states/eV/cell: 2.074


10.
# Sr3Tb2DySe6 | the Alexandria database | GGA-PBE | optimized geometry
data_Sr3Tb2DySe6
_cell_length_a 7.2907
_cell_length_b 7.2907
_cell_length_c 7.4668
_cell_angle_alpha 99.39
_cell_angle_beta 99.39
_cell_angle_gamma 119.94
_symmetry_space_group_name_H-M 'P 1'
_symmetry_Int_Tables_number 1
loop_
_symmetry_equiv_pos_as_xyz
'x,y,z'
loop_
_atom_site_label
_atom_site_type_symbol
_atom_site_fract_x
_atom_site_fract_y
_atom_site_fract_z
_atom_site_occupancy
Sr1 Sr 0.0000 0.0000 0.0000 1
Sr2 Sr 0.3329 0.6671 0.0000 1
Sr3 Sr 0.6671 0.3329 0.0000 1
Tb1 Tb 0.1665 0.8335 0.5000 1
Tb2 Tb 0.8335 0.1665 0.5000 1
Dy1 Dy 0.5000 0.5000 0.5000 1
Se1 Se 0.0909 0.4231 0.2689 1
Se2 Se 0.2450 0.2450 0.7315 1
Se3 Se 0.4231 0.0909 0.2689 1
Se4 Se 0.5769 0.9091 0.7311 1
Se5 Se 0.7550 0.7550 0.2685 1
Se6 Se 0.9091 0.5769 0.7311 1
# Electronic total energy in hartree per atom: -0.1913
# M_tot in μB per cell: 0.000
# Density of states at the Fermi level in states/eV/cell: 4.529


11.
# BeZnSe2 | the Alexandria database | GGA-PBE | optimized geometry
data_BeZnSe2
_cell_length_a 3.8403
_cell_length_b 3.8403
_cell_length_c 5.5187
_cell_angle_alpha 90.00
_cell_angle_beta 90.00
_cell_angle_gamma 90.00
_symmetry_space_group_name_H-M 'P 1'
_symmetry_Int_Tables_number 1
loop_
_symmetry_equiv_pos_as_xyz
'x,y,z'
loop_
_atom_site_label
_atom_site_type_symbol
_atom_site_fract_x
_atom_site_fract_y
_atom_site_fract_z
_atom_site_occupancy
Be1 Be 0.0000 0.0000 0.0000 1
Zn1 Zn 0.5000 0.5000 0.5000 1
Se1 Se 0.0000 0.5000 0.7774 1
Se2 Se 0.5000 0.0000 0.2226 1
# Energy above the most stable polymorph in this dataset in eV/f.u.: 0.072
# M_tot in μB per cell: 0.000
# Density of states at the Fermi level in states/eV/cell: 0.000


12.
# BaSrLa4O8 | the Alexandria database | GGA-PBE | optimized geometry
data_BaSrLa4O8
_cell_length_a 3.6812
_cell_length_b 12.6349
_cell_length_c 10.6703
_cell_angle_alpha 90.00
_cell_angle_beta 90.00
_cell_angle_gamma 90.00
_symmetry_space_group_name_H-M 'P 1'
_symmetry_Int_Tables_number 1
loop_
_symmetry_equiv_pos_as_xyz
'x,y,z'
loop_
_atom_site_label
_atom_site_type_symbol
_atom_site_fract_x
_atom_site_fract_y
_atom_site_fract_z
_atom_site_occupancy
Ba1 Ba 0.0000 0.1041 0.0000 1
Ba2 Ba 0.0000 0.8959 0.5000 1
Sr1 Sr 0.5000 0.3914 0.5048 1
Sr2 Sr 0.5000 0.6086 0.0048 1
La1 La 0.0000 0.1441 0.3351 1
La2 La 0.0000 0.3659 0.8202 1
La3 La 0.0000 0.6341 0.3202 1
La4 La 0.0000 0.8559 0.8351 1
La5 La 0.5000 0.1346 0.6742 1
La6 La 0.5000 0.3676 0.1652 1
La7 La 0.5000 0.6324 0.6652 1
La8 La 0.5000 0.8654 0.1742 1
O1 O 0.0000 0.0297 0.7360 1
O2 O 0.0000 0.2658 0.6128 1
O3 O 0.0000 0.3379 0.3224 1
O4 O 0.0000 0.4348 0.0301 1
O5 O 0.0000 0.5652 0.5301 1
O6 O 0.0000 0.6621 0.8224 1
O7 O 0.0000 0.7342 0.1128 1
O8 O 0.0000 0.9703 0.2360 1
O9 O 0.5000 0.0719 0.4619 1
O10 O 0.5000 0.1784 0.1829 1
O11 O 0.5000 0.2340 0.8735 1
O12 O 0.5000 0.4554 0.7367 1
O13 O 0.5000 0.5446 0.2367 1
O14 O 0.5000 0.7660 0.3735 1
O15 O 0.5000 0.8216 0.6829 1
O16 O 0.5000 0.9281 0.9619 1
# Electronic total energy in hartree per atom: -0.2824
# M_tot in μB per cell: 0.000
# Density of states at the Fermi level in states/eV/cell: 0.000